VASP calculation (PBE-GGA) on a relaxed Mo4P3 crystal.

Summary:
- energy (Ry per atom) = -0.66668

```
data_Mo4P3
_cell_length_a 12.496
_cell_length_b 3.164
_cell_length_c 20.523
_cell_angle_alpha 90.00
_cell_angle_beta 90.00
_cell_angle_gamma 90.00
_symmetry_space_group_name_H-M 'P n m a'
_symmetry_Int_Tables_number 62
loop_
_symmetry_equiv_pos_as_xyz
'x,y,z'
'-x,-y,-z'
'-x+1/2,-y,z+1/2'
'x+1/2,y,-z+1/2'
'x+1/2,-y+1/2,-z+1/2'
'-x+1/2,y+1/2,z+1/2'
'-x,y+1/2,-z'
'x,-y+1/2,z'
loop_
_atom_site_label
_atom_site_type_symbol
_atom_site_fract_x
_atom_site_fract_y
_atom_site_fract_z
Mo1 Mo 0.009 0.250 0.172
Mo2 Mo 0.095 0.250 0.534
Mo3 Mo 0.099 0.750 0.973
Mo4 Mo 0.115 0.750 0.647
Mo5 Mo 0.120 0.250 0.311
Mo6 Mo 0.194 0.250 0.773
Mo7 Mo 0.202 0.750 0.114
Mo8 Mo 0.203 0.750 0.416
P1 P 0.016 0.250 0.725
P2 P 0.018 0.750 0.081
P3 P 0.042 0.250 0.419
P4 P 0.179 0.750 0.863
P5 P 0.200 0.250 0.205
P6 P 0.246 0.250 0.028
```

VASP calculation (PBE-GGA) on a relaxed AgSb crystal.

Summary:
- energy above the lowest structure with this stoichiometry (eV/atom) = 0.156

```
data_AgSb
_cell_length_a 4.7854
_cell_length_b 4.7854
_cell_length_c 5.7237
_cell_angle_alpha 90.00
_cell_angle_beta 90.00
_cell_angle_gamma 120.00
_symmetry_space_group_name_H-M 'P 63 m c'
_symmetry_Int_Tables_number 186
_symmetry_space_group_name_Hall 'P 6c -2c'
loop_
_atom_site_label
_atom_site_type_symbol
_atom_site_fract_x
_atom_site_fract_y
_atom_site_fract_z
Ag1 Ag 0.3333 0.6667 0.0000
Sb1 Sb 0.3333 0.6667 0.4989
```

VASP calculation (PBE-GGA) on a relaxed TbAlAsO crystal.

Summary:
- energy above the lowest structure with this stoichiometry (eV/atom) = 0.700

```
data_TbAlAsO
_cell_length_a 3.992
_cell_length_b 3.992
_cell_length_c 9.984
_cell_angle_alpha 90.00
_cell_angle_beta 90.00
_cell_angle_gamma 90.00
_symmetry_space_group_name_H-M 'P 4/n m m'
_symmetry_Int_Tables_number 129
loop_
_symmetry_equiv_pos_as_xyz
'x,y,z'
'-x,-y,-z'
'-y+1/2,x,z'
'y+1/2,-x,-z'
'-x+1/2,-y+1/2,z'
'x+1/2,y+1/2,-z'
'y,-x+1/2,z'
'-y,x+1/2,-z'
'x+1/2,-y,-z'
'-x+1/2,y,z'
'-y,-x,-z'
'y,x,z'
'-x,y+1/2,-z'
'x,-y+1/2,z'
'y+1/2,x+1/2,-z'
'-y+1/2,-x+1/2,z'
loop_
_atom_site_label
_atom_site_type_symbol
_atom_site_fract_x
_atom_site_fract_y
_atom_site_fract_z
Tb1 Tb 0.250 0.750 0.000
Al1 Al 0.250 0.250 0.444
As1 As 0.250 0.250 0.205
O1 O 0.250 0.750 0.500
```

VASP calculation (PBE-GGA) on a relaxed LaPrNO crystal.

Summary:
- energy above the lowest structure with this stoichiometry (eV/atom) = 0.077

```
data_LaPrNO
_cell_length_a 4.036
_cell_length_b 7.001
_cell_length_c 5.982
_cell_angle_alpha 90.00
_cell_angle_beta 90.00
_cell_angle_gamma 90.00
_symmetry_space_group_name_H-M 'P m c 21'
_symmetry_Int_Tables_number 26
loop_
_symmetry_equiv_pos_as_xyz
'x,y,z'
'-x,-y,z+1/2'
'-x,y,z'
'x,-y,z+1/2'
loop_
_atom_site_label
_atom_site_type_symbol
_atom_site_fract_x
_atom_site_fract_y
_atom_site_fract_z
La1 La 0.000 0.167 0.000
Pr1 Pr 0.500 0.334 0.499
N1 N 0.000 0.164 0.410
O1 O 0.500 0.329 0.896
```